[1]
{"formula": "TaAgRh", "functional": "GGA-PBE", "state": "optimized geometry", "final_energy_ev_per_atom": -7.353, "n_ef_per_ev_fu": 2.212, "e_above_lowest_polymorph_mev_per_atom": 95, "cell": [[4.4842, 0.0000, 0.0000], [-2.2421, 3.8835, 0.0000], [0.0000, 0.0000, 2.8516]], "species": ["Ta", "Ag", "Rh"], "frac_coords": [[0.0000, 0.0000, 0.0000], [0.6667, 0.3333, 0.4051], [0.3333, 0.6667, 0.8086]]}

=====

[2]
{"formula": "TaAgRh2", "functional": "GGA-PBE", "state": "optimized geometry", "final_energy_ev_per_atom": -7.303, "n_ef_per_ev_fu": 2.738, "cell": [[2.8261, -4.5008, 0.0000], [2.8261, 4.5008, 0.0000], [-1.2252, 0.0000, 2.5034]], "species": ["Ta", "Ag", "Rh", "Rh"], "frac_coords": [[0.0000, 0.0000, 0.0000], [0.5000, 0.5000, 0.0000], [0.0000, 0.5000, 0.5000], [0.5000, 0.0000, 0.5000]]}

=====

[3]
{"formula": "TaAg2Rh", "functional": "GGA-PBE", "state": "optimized geometry", "final_energy_ev_per_atom": -5.902, "n_ef_per_ev_fu": 3.630, "e_above_lowest_polymorph_mev_per_atom": 324, "cell": [[1.5534, -2.2686, 0.0000], [1.5534, 2.2686, 0.0000], [0.0000, 0.0000, 9.6255]], "species": ["Ta", "Ag", "Ag", "Rh"], "frac_coords": [[0.0000, 0.0000, 0.0000], [0.5000, 0.5000, 0.2562], [0.5000, 0.5000, 0.7438], [0.0000, 0.0000, 0.5000]]}

=====

[4]
{"formula": "TaAg2Rh", "functional": "GGA-PBE", "state": "optimized geometry", "final_energy_ev_per_atom": -5.901, "n_ef_per_ev_fu": 3.800, "e_above_lowest_polymorph_mev_per_atom": 324, "cell": [[2.7943, 0.0000, 0.0000], [0.0000, 2.7943, 0.0000], [0.0000, 0.0000, 8.5618]], "species": ["Ta", "Ag", "Ag", "Rh"], "frac_coords": [[0.0000, 0.0000, 0.0000], [0.5000, 0.5000, 0.2587], [0.5000, 0.5000, 0.7413], [0.0000, 0.0000, 0.5000]]}

=====

[5]
{"formula": "TaAg2Rh", "functional": "GGA-PBE", "state": "optimized geometry", "final_energy_ev_per_atom": -5.813, "n_ef_per_ev_fu": 6.109, "e_above_lowest_polymorph_mev_per_atom": 412, "cell": [[0.0000, 3.2180, 3.2180], [3.2180, 0.0000, 3.2180], [3.2180, 3.2180, 0.0000]], "species": ["Ta", "Ag", "Ag", "Rh"], "frac_coords": [[0.0000, 0.0000, 0.0000], [0.2500, 0.2500, 0.2500], [0.7500, 0.7500, 0.7500], [0.5000, 0.5000, 0.5000]]}

=====

[6]
{"formula": "TaAg2Rh", "functional": "GGA-PBE", "state": "optimized geometry", "final_energy_ev_per_atom": -6.111, "n_ef_per_ev_fu": 2.831, "e_above_lowest_polymorph_mev_per_atom": 115, "cell": [[4.6141, -1.4762, 0.0000], [4.6141, 1.4762, 0.0000], [-1.0478, 0.0000, 4.9709]], "species": ["Ta", "Ag", "Ag", "Rh"], "frac_coords": [[0.0000, 0.0000, 0.0000], [0.2411, 0.2411, 0.6942], [0.4864, 0.4864, 0.4785], [0.7362, 0.7362, 0.1723]]}

=====

[7]
{"formula": "TaAg2Rh", "functional": "GGA-PBE", "state": "optimized geometry", "final_energy_ev_per_atom": -6.101, "n_ef_per_ev_fu": 2.460, "e_above_lowest_polymorph_mev_per_atom": 124, "cell": [[4.7513, 0.0000, 0.0000], [0.0000, 2.8636, 0.0000], [-1.5945, 0.0000, 4.9166]], "species": ["Ta", "Ag", "Ag", "Rh"], "frac_coords": [[0.0000, 0.0000, 0.0000], [0.0000, 0.5000, 0.5000], [0.5000, 0.0000, 0.5000], [0.5000, 0.5000, 0.0000]]}

=====

[8]
{"formula": "TaAg2Rh", "functional": "GGA-PBE", "state": "optimized geometry", "final_energy_ev_per_atom": -6.121, "n_ef_per_ev_fu": 3.235, "e_above_lowest_polymorph_mev_per_atom": 105, "cell": [[-1.9247, 1.9247, 4.4650], [1.9247, -1.9247, 4.4650], [1.9247, 1.9247, -4.4650]], "species": ["Ta", "Ag", "Ag", "Rh"], "frac_coords": [[0.0000, 0.0000, 0.0000], [0.2500, 0.7500, 0.5000], [0.7500, 0.2500, 0.5000], [0.5000, 0.5000, 0.0000]]}

=====

[9]
{"formula": "TaAg2Rh", "functional": "GGA-PBE", "state": "optimized geometry", "final_energy_ev_per_atom": -6.112, "n_ef_per_ev_fu": 2.553, "e_above_lowest_polymorph_mev_per_atom": 114, "cell": [[-2.0251, 2.0251, 4.0013], [2.0251, -2.0251, 4.0013], [2.0251, 2.0251, -4.0013]], "species": ["Ta", "Ag", "Ag", "Rh"], "frac_coords": [[0.0000, 0.0000, 0.0000], [0.2500, 0.7500, 0.5000], [0.5000, 0.5000, 0.0000], [0.7500, 0.2500, 0.5000]]}

=====

[10]
{"formula": "TaAgRh2", "functional": "GGA-PBE", "state": "optimized geometry", "final_energy_ev_per_atom": -7.612, "n_ef_per_ev_fu": 0.920, "cell": [[4.1353, 0.0000, 0.0000], [0.0000, 4.1353, 0.0000], [0.0000, 0.0000, 3.6448]], "species": ["Ta", "Ag", "Rh", "Rh"], "frac_coords": [[0.0000, 0.0000, 0.0000], [0.5000, 0.5000, 0.0000], [0.0000, 0.5000, 0.5000], [0.5000, 0.0000, 0.5000]]}

=====

[11]
{"formula": "Ta2AgRh2", "functional": "GGA-PBE", "state": "optimized geometry", "final_energy_ev_per_atom": -8.496, "n_ef_per_ev_fu": 3.446, "e_above_lowest_polymorph_mev_per_atom": 0, "cell": [[7.6416, 0.0000, 0.0000], [0.0000, 7.6416, 0.0000], [0.0000, 0.0000, 2.9157]], "species": ["Ta", "Ta", "Ta", "Ta", "Ag", "Ag", "Rh", "Rh", "Rh", "Rh"], "frac_coords": [[0.1615, 0.3385, 0.0000], [0.3385, 0.8385, 0.0000], [0.6615, 0.1615, 0.0000], [0.8385, 0.6615, 0.0000], [0.0000, 0.0000, 0.5000], [0.5000, 0.5000, 0.5000], [0.1340, 0.6340, 0.5000], [0.3660, 0.1340, 0.5000], [0.6340, 0.8660, 0.5000], [0.8660, 0.3660, 0.5000]]}

=====

[12]
{"formula": "Ta3AgRh", "functional": "GGA-PBE", "state": "optimized geometry", "final_energy_ev_per_atom": -7.997, "n_ef_per_ev_fu": 3.538, "e_above_lowest_polymorph_mev_per_atom": 0, "cell": [[4.8014, 0.0000, 0.0000], [0.0000, 4.8014, 0.0000], [0.0000, 0.0000, 4.8014]], "species": ["Ta", "Ta", "Ta", "Ag", "Rh"], "frac_coords": [[0.0000, 0.0000, 0.5000], [0.0000, 0.5000, 0.0000], [0.5000, 0.0000, 0.0000], [0.5000, 0.5000, 0.5000], [0.0000, 0.0000, 0.0000]]}